Entry from the Alexandria database: a PBEsol-optimized structure of Os3Cl (meta-GGA SCAN).

```
data_Os3Cl
_cell_length_a 8.4677
_cell_length_b 8.4677
_cell_length_c 2.8009
_cell_angle_alpha 90.00
_cell_angle_beta 90.00
_cell_angle_gamma 120.00
_space_group_name_H-M_alt 'R -3 m'
_space_group_IT_number 166
_space_group_name_Hall '-R 3 2"'
loop_
_atom_site_label
_atom_site_type_symbol
_atom_site_fract_x
_atom_site_fract_y
_atom_site_fract_z
_atom_site_occupancy
Os1 Os 0.0000 0.5000 0.0000 1
Cl1 Cl 0.0000 0.0000 0.0000 1
```

volume: 14.49 Å³ per atom
formation energy without anion corrections: 620 kJ/mol of formula units
uncorrected energy: -3.991 Ry/atom
ΔE to the lowest computed polymorph: 1019.5 meV/atom
calculated density: 17.4 g/cm³